{
  "formula": "La6Tl3H2",
  "functional": "GGA-PBE",
  "state": "optimized geometry",
  "lattice": [[-0.9055, -4.6064, -1.6869], [2.7501, 0.9438, -4.0535], [9.6947, -2.5223, 9.0597]],
  "species": ["Tl", "Tl", "Tl", "H", "H", "La", "La", "La", "La", "La", "La"],
  "fractional_positions": [[0.1736, 0.1736, 0.3472], [0.8264, 0.8264, 0.6528], [0.0000, 0.0000, 0.0000], [0.3953, 0.3953, 0.7906], [0.6047, 0.6047, 0.2094], [0.0846, 0.5846, 0.1691], [0.4154, 0.9154, 0.8309], [0.7008, 0.7008, 0.4017], [0.2992, 0.2992, 0.5983], [0.9154, 0.4154, 0.8309], [0.5846, 0.0846, 0.1691]],
  "energy_ry_per_atom": -0.31372,
  "total_magnetization_mub_per_atom": 0.000,
  "spacegroup": "I4/mmm, No. 139"
}